The following is a DFT calculation (PBE-GGA) of a geometry-optimized MgBeAg2 structure.

The structure belongs to space group I-42d (No. 122); the cell edges are 3.964, 3.964 and 18.269 Å and the angles 90.00°, 90.00° and 90.00°. Symmetry generates all atoms from Mg at (0.000, 0.000, 0.000), Be at (0.000, 0.000, 0.500) and Ag at (0.233, 0.250, 0.625).

The energy above the lowest structure with this stoichiometry comes out at 0.405 eV/atom. The formation energy comes out at 0.392 eV/atom.

=====

The following is a DFT calculation (PBE-GGA) of a geometry-optimized PuCuHg structure.

The structure belongs to space group C2/m (No. 12); the cell edges are 5.987, 3.451 and 11.982 Å and the angles 90.00°, 99.78° and 90.00°. Symmetry generates all atoms from Pu at (0.185, 0.000, 0.055), Cu at (0.080, 0.500, 0.235) and Hg at (0.199, 0.500, 0.606).

The formation energy comes out at 0.284 eV/atom.

=====

The following is a DFT calculation (PBE-GGA) of a geometry-optimized SrSb3Au structure.

The structure belongs to space group Pmn2_1 (No. 31); the cell edges are 6.501, 6.885 and 6.578 Å and the angles 90.00°, 90.00° and 90.00°. Symmetry generates all atoms from Sr at (0.000, 0.249, 0.000), Sb at (0.000, 0.585, 0.638), Sb at (0.240, 0.207, 0.489) and Au at (0.000, 0.869, 0.338).

Its energy relative to the elements, uncorrected is -38 kJ/mol of atoms. The energy above the lowest structure with this stoichiometry comes out at 0.000 eV/atom.

=====

The following is a DFT calculation (PBE-GGA) of a geometry-optimized Tl2SnPbF6 structure.

The structure belongs to space group P1 (No. 1); the cell edges are 6.391, 6.417 and 6.567 Å and the angles 66.98°, 62.81° and 64.15°. Symmetry generates all atoms from Tl at (0.000, 0.000, 0.000), Tl at (0.494, 0.494, 0.502), Sn at (0.749, 0.752, 0.764), Pb at (0.244, 0.255, 0.265), F at (0.061, 0.895, 0.583), F at (0.073, 0.401, 0.611), F at (0.385, 0.579, 0.116), F at (0.572, 0.073, 0.918), F at (0.580, 0.089, 0.383) and F at (0.900, 0.592, 0.044).

Its energy relative to the elements, uncorrected is -203 kJ/mol of atoms.

=====

The following is a DFT calculation (PBE-GGA) of a geometry-optimized Dy2TmAg structure.

The structure belongs to space group R-3m (No. 166, hexagonal axes); the cell edges are 3.5231, 3.5231 and 31.3239 Å and the angles 90.00°, 90.00° and 120.00°. Symmetry generates all atoms from Dy at (0.0000, 0.0000, 0.2425), Tm at (0.0000, 0.0000, 0.0000) and Ag at (0.0000, 0.0000, 0.5000).

The energy above the lowest structure with this stoichiometry comes out at 0.113 eV/atom. The formation energy comes out at -0.020 eV/atom.

=====

The following is a DFT calculation (PBE-GGA) of a geometry-optimized Be2CoBr structure.

The structure belongs to space group Fm-3m (No. 225); the cell edges are 5.774, 5.774 and 5.774 Å and the angles 90.00°, 90.00° and 90.00°. Symmetry generates all atoms from Be at (0.250, 0.250, 0.250), Co at (0.000, 0.000, 0.000) and Br at (0.000, 0.000, 0.500).

Its energy relative to the elements, uncorrected is 97 kJ/mol of atoms. The energy above the lowest structure with this stoichiometry comes out at 0.869 eV/atom.

=====

The N(E_F) results, record by record, are as follows: 7.1; 15.9; 2.9; 0.0; 11.8; 1.1 states/eV/cell.